DFT (PBE-GGA) results for a geometry-optimized TeOs3N structure.

The structure in extended XYZ format:
```
5
Lattice="4.849 0.000 0.000 0.000 4.849 0.000 0.000 0.000 4.849" Properties=species:S:1:pos:R:3 pbc="T T T"
Te 0.000 0.000 0.000
Os 0.000 0.000 2.424
Os 0.000 2.424 0.000
Os 2.424 0.000 0.000
N 2.424 2.424 2.424
```

Space-group type ... No. 221
Formation energy without anion corrections ... 3.76 eV per atom
Density ... 10375 kg/m3
Magnetization ... 4.1 μB per formula unit

=====

DFT (PBE-GGA) results for a geometry-optimized TeOs3N structure.

The structure in extended XYZ format:
```
5
Lattice="4.175 0.000 0.000 0.000 4.175 0.000 0.000 0.000 4.175" Properties=species:S:1:pos:R:3 pbc="T T T"
Te 0.000 0.000 0.000
Os 0.000 2.088 2.088
Os 2.088 0.000 2.088
Os 2.088 2.088 0.000
N 2.088 2.088 2.088
```

Space-group type ... No. 221
Formation energy without anion corrections ... 1.05 eV per atom
Density ... 16251 kg/m3
Magnetization ... 0.0 μB per formula unit

=====

DFT (PBE-GGA) results for a geometry-optimized Te2OsN structure.

The structure in extended XYZ format:
```
12
Lattice="4.070 0.000 0.000 -2.035 3.524 0.000 0.000 0.000 19.204" Properties=species:S:1:pos:R:3 pbc="T T T"
Te 0.000 0.000 1.925
Te 0.000 0.000 17.279
Te 0.000 2.350 10.878
Te 0.000 2.350 14.728
Te 2.035 1.175 4.476
Te 2.035 1.175 8.326
Os 0.000 0.000 9.602
Os 0.000 2.350 3.201
Os 2.035 1.175 16.003
N 0.000 0.000 0.000
N 0.000 2.350 12.803
N 2.035 1.175 6.401
```

Space-group type ... No. 166
Formation energy without anion corrections ... 0.80 eV per atom
Density ... 8309 kg/m3
Magnetization ... 0.0 μB per formula unit

=====

DFT (PBE-GGA) results for a geometry-optimized TeOsN3 structure.

The structure in extended XYZ format:
```
5
Lattice="3.911 0.000 0.000 0.000 3.911 0.000 0.000 0.000 3.911" Properties=species:S:1:pos:R:3 pbc="T T T"
Te 0.000 0.000 0.000
Os 1.956 1.956 1.956
N 0.000 0.000 1.956
N 0.000 1.956 0.000
N 1.956 0.000 0.000
```

Space-group type ... No. 221
Formation energy without anion corrections ... 2.45 eV per atom
Density ... 9986 kg/m3
Magnetization ... 0.0 μB per formula unit

=====

DFT (PBE-GGA) results for a geometry-optimized TeOs2N structure.

The structure in extended XYZ format:
```
16
Lattice="6.117 0.000 0.000 0.000 6.117 0.000 0.000 0.000 6.117" Properties=species:S:1:pos:R:3 pbc="T T T"
Te 0.000 0.000 0.000
Te 0.000 3.059 3.059
Te 3.059 0.000 3.059
Te 3.059 3.059 0.000
Os 1.529 1.529 1.529
Os 1.529 1.529 4.588
Os 1.529 4.588 1.529
Os 1.529 4.588 4.588
Os 4.588 1.529 1.529
Os 4.588 1.529 4.588
Os 4.588 4.588 1.529
Os 4.588 4.588 4.588
N 0.000 0.000 3.059
N 0.000 3.059 0.000
N 3.059 0.000 0.000
N 3.059 3.059 3.059
```

Space-group type ... No. 225
Formation energy without anion corrections ... 1.51 eV per atom
Density ... 15147 kg/m3
Magnetization ... 0.0 μB per formula unit

=====

DFT (PBE-GGA) results for a geometry-optimized TeOs2N2 structure.

The structure in extended XYZ format:
```
10
Lattice="3.887 0.000 0.000 0.000 3.887 0.000 0.000 0.000 9.672" Properties=species:S:1:pos:R:3 pbc="T T T"
Te 0.000 0.000 0.000
Te 1.943 1.943 4.836
Os 0.000 1.943 2.418
Os 0.000 1.943 7.254
Os 1.943 0.000 2.418
Os 1.943 0.000 7.254
N 0.000 0.000 3.221
N 0.000 0.000 6.451
N 1.943 1.943 1.615
N 1.943 1.943 8.057
```

Space-group type ... No. 139
Formation energy without anion corrections ... 1.03 eV per atom
Density ... 12186 kg/m3
Magnetization ... 0.0 μB per formula unit

=====

DFT (PBE-GGA) results for a geometry-optimized TeOs2N structure.

The structure in extended XYZ format:
```
16
Lattice="5.108 0.000 0.000 0.000 5.108 0.000 0.000 0.000 10.641" Properties=species:S:1:pos:R:3 pbc="T T T"
Te 0.000 0.000 0.000
Te 0.000 2.554 2.660
Te 2.554 0.000 7.981
Te 2.554 2.554 5.320
Os 0.712 1.277 6.651
Os 1.277 3.266 9.311
Os 1.277 4.396 3.990
Os 1.842 1.277 1.330
Os 3.266 3.831 1.330
Os 3.831 0.712 3.990
Os 3.831 1.842 9.311
Os 4.396 3.831 6.651
N 0.000 0.000 5.320
N 0.000 2.554 7.981
N 2.554 0.000 2.660
N 2.554 2.554 0.000
```

Space-group type ... No. 122
Formation energy without anion corrections ... 0.62 eV per atom
Density ... 12490 kg/m3
Magnetization ... 0.0 μB per formula unit

=====

DFT (PBE-GGA) results for a geometry-optimized Te2OsN structure.

The structure in extended XYZ format:
```
12
Lattice="3.161 0.000 0.000 -1.581 2.738 0.000 0.000 0.000 25.368" Properties=species:S:1:pos:R:3 pbc="T T T"
Te 0.000 0.000 2.558
Te 0.000 0.000 22.810
Te 0.000 1.825 14.354
Te 0.000 1.825 19.469
Te 1.581 0.913 5.898
Te 1.581 0.913 11.014
Os 0.000 0.000 0.000
Os 0.000 1.825 16.912
Os 1.581 0.913 8.456
N 0.000 0.000 12.684
N 0.000 1.825 4.228
N 1.581 0.913 21.140
```

Space-group type ... No. 166
Formation energy without anion corrections ... 1.44 eV per atom
Density ... 10425 kg/m3
Magnetization ... 0.0 μB per formula unit

=====

DFT (PBE-GGA) results for a geometry-optimized TeOsN3 structure.

The structure in extended XYZ format:
```
5
Lattice="3.935 0.000 0.000 0.000 3.935 0.000 0.000 0.000 3.935" Properties=species:S:1:pos:R:3 pbc="T T T"
Te 0.000 0.000 0.000
Os 1.967 1.967 1.967
N 0.000 1.967 1.967
N 1.967 0.000 1.967
N 1.967 1.967 0.000
```

Space-group type ... No. 221
Formation energy without anion corrections ... 1.25 eV per atom
Density ... 9808 kg/m3
Magnetization ... 0.0 μB per formula unit

=====

DFT (PBE-GGA) results for a geometry-optimized TeOs2N2 structure.

The structure in extended XYZ format:
```
10
Lattice="7.291 0.000 0.000 0.000 7.291 0.000 0.000 0.000 2.737" Properties=species:S:1:pos:R:3 pbc="T T T"
Te 0.000 0.000 0.000
Te 3.646 3.646 0.000
Os 0.874 2.772 1.369
Os 2.772 6.417 1.369
Os 4.519 0.874 1.369
Os 6.417 4.519 1.369
N 0.817 4.462 0.000
N 2.829 0.817 0.000
N 4.462 6.475 0.000
N 6.475 2.829 0.000
```

Space-group type ... No. 127
Formation energy without anion corrections ... 1.58 eV per atom
Density ... 12235 kg/m3
Magnetization ... 0.0 μB per formula unit

=====

DFT (PBE-GGA) results for a geometry-optimized Th8Te3Os3N structure.

The structure in extended XYZ format:
```
15
Lattice="8.218 0.000 0.000 4.099 7.131 0.000 4.103 2.371 7.705" Properties=species:S:1:pos:R:3 pbc="T T T"
Th 3.978 2.300 2.397
Th 6.152 6.063 2.389
Th 8.088 7.197 5.312
Th 6.157 3.561 5.391
Th 10.263 5.941 2.315
Th 8.332 2.304 2.394
Th 10.268 3.439 5.317
Th 12.442 7.201 5.309
Te 0.000 0.000 0.000
Te 2.049 3.565 0.000
Te 4.109 0.000 0.000
Os 4.101 4.751 3.853
Os 6.161 1.185 3.853
Os 8.210 4.751 3.853
N 2.051 1.185 3.853
```

Space-group type ... No. 2
Formation energy without anion corrections ... -0.69 eV per atom
Density ... 10384 kg/m3
Magnetization ... 0.0 μB per formula unit

=====

DFT (PBE-GGA) results for a geometry-optimized TiTe2OsN structure.

The structure in extended XYZ format:
```
5
Lattice="5.373 0.000 0.000 0.000 5.373 0.000 0.000 0.000 3.610" Properties=species:S:1:pos:R:3 pbc="T T T"
Ti 0.000 0.000 0.000
Te 0.000 2.686 0.000
Te 2.686 0.000 0.000
Os 2.686 2.686 1.805
N 0.000 0.000 1.805
```

Space-group type ... No. 123
Formation energy without anion corrections ... 0.83 eV per atom
Density ... 8083 kg/m3
Magnetization ... 1.3 μB per formula unit

=====

DFT (PBE-GGA) results for a geometry-optimized TiTe2OsN structure.

The structure in extended XYZ format:
```
5
Lattice="5.448 0.000 0.000 0.000 5.448 0.000 0.000 0.000 3.672" Properties=species:S:1:pos:R:3 pbc="T T T"
Ti 0.000 0.000 0.000
Te 0.000 2.724 1.836
Te 2.724 0.000 1.836
Os 2.724 2.724 1.836
N 2.724 2.724 0.000
```

Space-group type ... No. 123
Formation energy without anion corrections ... 0.35 eV per atom
Density ... 7730 kg/m3
Magnetization ... 1.8 μB per formula unit

=====

DFT (PBE-GGA) results for a geometry-optimized VTeOsN2 structure.

The structure in extended XYZ format:
```
5
Lattice="3.771 0.000 0.000 0.000 3.771 0.000 0.000 0.000 5.844" Properties=species:S:1:pos:R:3 pbc="T T T"
V 0.000 0.000 0.000
Te 0.000 0.000 2.922
Os 1.886 1.886 2.922
N 0.000 1.886 0.000
N 1.886 0.000 0.000
```

Space-group type ... No. 123
Formation energy without anion corrections ... 1.14 eV per atom
Density ... 7927 kg/m3
Magnetization ... 1.8 μB per formula unit

=====

DFT (PBE-GGA) results for a geometry-optimized VTeOsN2 structure.

The structure in extended XYZ format:
```
5
Lattice="3.843 0.000 0.000 0.000 3.843 0.000 0.000 0.000 5.779" Properties=species:S:1:pos:R:3 pbc="T T T"
V 0.000 0.000 0.000
Te 1.922 1.922 0.000
Os 1.922 1.922 2.889
N 0.000 1.922 2.889
N 1.922 0.000 2.889
```

Space-group type ... No. 123
Formation energy without anion corrections ... 0.76 eV per atom
Density ... 7719 kg/m3
Magnetization ... 2.9 μB per formula unit

=====

DFT (PBE-GGA) results for a geometry-optimized TeOsWN2 structure.

The structure in extended XYZ format:
```
5
Lattice="3.892 0.000 0.000 0.000 3.892 0.000 0.000 0.000 5.867" Properties=species:S:1:pos:R:3 pbc="T T T"
Te 0.000 0.000 0.000
Os 1.946 1.946 0.000
W 0.000 0.000 2.933
N 0.000 1.946 2.933
N 1.946 0.000 2.933
```

Space-group type ... No. 123
Formation energy without anion corrections ... 1.19 eV per atom
Density ... 9897 kg/m3
Magnetization ... 2.4 μB per formula unit

=====

DFT (PBE-GGA) results for a geometry-optimized Te2OsWN structure.

The structure in extended XYZ format:
```
5
Lattice="5.331 0.000 0.000 0.000 5.331 0.000 0.000 0.000 3.728" Properties=species:S:1:pos:R:3 pbc="T T T"
Te 0.000 2.666 0.000
Te 2.666 0.000 0.000
Os 0.000 0.000 1.864
W 2.666 2.666 0.000
N 2.666 2.666 1.864
```

Space-group type ... No. 123
Formation energy without anion corrections ... 1.17 eV per atom
Density ... 10081 kg/m3
Magnetization ... 0.7 μB per formula unit

=====

DFT (PBE-GGA) results for a geometry-optimized Te2OsWN structure.

The structure in extended XYZ format:
```
5
Lattice="5.368 0.000 0.000 0.000 5.368 0.000 0.000 0.000 3.650" Properties=species:S:1:pos:R:3 pbc="T T T"
Te 0.000 2.684 0.000
Te 2.684 0.000 0.000
Os 0.000 0.000 0.000
W 2.684 2.684 1.825
N 0.000 0.000 1.825
```

Space-group type ... No. 123
Formation energy without anion corrections ... 1.05 eV per atom
Density ... 10158 kg/m3
Magnetization ... 2.8 μB per formula unit

=====

DFT (PBE-GGA) results for a geometry-optimized TeOsWN2 structure.

The structure in extended XYZ format:
```
5
Lattice="3.859 0.000 0.000 0.000 3.859 0.000 0.000 0.000 5.910" Properties=species:S:1:pos:R:3 pbc="T T T"
Te 0.000 0.000 0.000
Os 0.000 0.000 2.955
W 1.929 1.929 0.000
N 0.000 1.929 2.955
N 1.929 0.000 2.955
```

Space-group type ... No. 123
Formation energy without anion corrections ... 1.42 eV per atom
Density ... 9993 kg/m3
Magnetization ... 3.5 μB per formula unit

=====

DFT (PBE-GGA) results for a geometry-optimized ZnTe2OsN structure.

The structure in extended XYZ format:
```
5
Lattice="5.289 0.000 0.000 0.000 5.289 0.000 0.000 0.000 3.473" Properties=species:S:1:pos:R:3 pbc="T T T"
Zn 0.000 0.000 0.000
Te 0.000 2.645 0.000
Te 2.645 0.000 0.000
Os 2.645 2.645 1.737
N 0.000 0.000 1.737
```

Space-group type ... No. 123
Formation energy without anion corrections ... 1.46 eV per atom
Density ... 8970 kg/m3
Magnetization ... 0.5 μB per formula unit